Entry 1:
InTc2Te: PBEsol geometry, SCAN.

Calculated density: 10.5 g/cm3
DOS at the Fermi energy: 0.9889 states/eV per atom
Crystal system: tetragonal
Total moment: 2.41 Bohr magnetons per cell
Distance to the lowest polymorph of the same formula: 0.250 eV per atom
Formation energy (no corrections): 0.657 eV/atom

Unit cell a=3.9981 b=3.9981 c=8.6631 alpha=90.00 beta=90.00 gamma=90.00
Space group I-4m2 (No. 119)
Inequivalent atoms, fractional coordinates:
In 0.0000 0.0000 0.0000
Tc 0.0000 0.0000 0.5000
Tc 0.0000 0.5000 0.2500
Te 0.0000 0.5000 0.7500


Entry 2:
Be2TePt2: PBEsol geometry, SCAN.

Calculated density: 12.5 g/cm3
DOS at the Fermi energy: 0.2482 states/eV per atom
Crystal system: tetragonal
Total moment: 0.00 Bohr magnetons per cell
Formation energy (no corrections): -0.275 eV/atom

Unit cell a=7.1573 b=7.1573 c=2.7894 alpha=90.00 beta=90.00 gamma=90.00
Space group P4/mbm (No. 127)
Inequivalent atoms, fractional coordinates:
Be 0.1288 0.3712 0.0000
Te 0.0000 0.0000 0.0000
Pt 0.1466 0.6466 0.5000


Entry 3:
Tl2PAu: PBEsol geometry, SCAN.

Calculated density: 10.5 g/cm3
DOS at the Fermi energy: 0.1775 states/eV per atom
Energy of formation from the pure elements: -71 meV/atom
Crystal system: trigonal
Total moment: 0.00 Bohr magnetons per cell
Distance to the lowest polymorph of the same formula: 0.000 eV per atom

Unit cell a=4.2055 b=4.2055 c=19.6285 alpha=90.00 beta=90.00 gamma=120.00
Space group R3m (No. 160, hexagonal axes)
Inequivalent atoms, fractional coordinates:
Tl 0.0000 0.0000 0.0000
Tl 0.0000 0.0000 0.2067
P 0.0000 0.0000 0.4387
Au 0.0000 0.0000 0.7677


Entry 4:
Si2AgOs: PBEsol geometry, SCAN.

Calculated density: 10.6 g/cm3
DOS at the Fermi energy: 0.5598 states/eV per atom
Crystal system: tetragonal
Total moment: 0.00 Bohr magnetons per cell
Distance to the lowest polymorph of the same formula: 0.256 eV per atom
Formation energy (no corrections): 0.360 eV/atom

Unit cell a=4.3526 b=4.3526 c=2.9413 alpha=90.00 beta=90.00 gamma=90.00
Space group P4/mmm (No. 123)
Inequivalent atoms, fractional coordinates:
Si 0.0000 0.5000 0.0000
Ag 0.0000 0.0000 0.5000
Os 0.5000 0.5000 0.5000


> Which value of calculated density does entry 3 give?

10.5 g/cm3


> Which formula does entry 1 have?

InTc2Te


> What is the DOS at the Fermi energy in the second record?

0.2482 states/eV per atom


Copy entry 2 word for word.
Be2TePt2: PBEsol geometry, SCAN.

Calculated density: 12.5 g/cm3
DOS at the Fermi energy: 0.2482 states/eV per atom
Crystal system: tetragonal
Total moment: 0.00 Bohr magnetons per cell
Formation energy (no corrections): -0.275 eV/atom

Unit cell a=7.1573 b=7.1573 c=2.7894 alpha=90.00 beta=90.00 gamma=90.00
Space group P4/mbm (No. 127)
Inequivalent atoms, fractional coordinates:
Be 0.1288 0.3712 0.0000
Te 0.0000 0.0000 0.0000
Pt 0.1466 0.6466 0.5000